(1)
An optimized crystal structure of GdTmFe2Ge2B, computed with GGA-PBE.

```
7
Lattice="5.365 -2.039 0.000 5.365 2.039 0.000 -4.378 0.000 5.299" Properties=species:S:1:pos:R:3 pbc="T T T"
Gd 0.000 0.000 0.000
Tm -1.573 0.000 3.411
Fe 1.577 0.000 2.702
Fe 7.616 0.000 0.730
Ge 3.308 0.000 1.101
Ge 5.864 0.000 2.320
B 2.434 0.000 4.352
```

(2)
An optimized crystal structure of Gd2HoFe2B2N3, computed with GGA-PBE.

```
10
Lattice="-1.734 1.734 10.192 1.734 -1.734 10.192 1.734 1.734 -10.192" Properties=species:S:1:pos:R:3 pbc="T T T"
Gd 0.000 0.000 2.491
Gd 0.000 0.000 17.893
Ho 0.000 0.000 10.192
Fe 1.734 0.000 5.096
Fe 0.000 1.734 5.096
B 0.000 0.000 6.371
B 0.000 0.000 14.013
N 0.000 0.000 0.000
N 0.000 0.000 7.855
N 0.000 0.000 12.529
```

(3)
An optimized crystal structure of GdHoFe2B2N2, computed with GGA-PBE.

```
8
Lattice="3.455 0.000 0.000 0.000 3.455 0.000 0.000 0.000 7.718" Properties=species:S:1:pos:R:3 pbc="T T T"
Gd 0.000 0.000 0.000
Ho 1.728 1.728 5.161
Fe 0.000 1.728 2.580
Fe 1.728 0.000 2.580
B 0.000 0.000 3.846
B 1.728 1.728 1.300
N 0.000 0.000 5.332
N 1.728 1.728 7.524
```

(4)
An optimized crystal structure of Nd2GdFe2B2N3, computed with GGA-PBE.

```
10
Lattice="-1.780 1.780 10.293 1.780 -1.780 10.293 1.780 1.780 -10.293" Properties=species:S:1:pos:R:3 pbc="T T T"
Nd 0.000 0.000 2.549
Nd 0.000 0.000 18.038
Gd 0.000 0.000 10.293
Fe 1.780 0.000 5.147
Fe 0.000 1.780 5.147
B 0.000 0.000 6.412
B 0.000 0.000 14.175
N 0.000 0.000 0.000
N 0.000 0.000 7.890
N 0.000 0.000 12.697
```

Number 1: VASP energy -0.24007 Ha/atom. Number 2: VASP energy -0.29525 Ha/atom. Number 3: VASP energy -0.29398 Ha/atom. Number 4: VASP energy -0.29155 Ha/atom.